Here is a relaxed structure of Fe2IrPt from the Alexandria database. Energies are from GGA-PBE.

Its total energy is -8.016 eV/atom. As for the formation energy from the elements: -0.059 eV/atom. The value obtained for the energy relative to the lowest polymorph listed for this composition is 53 meV/atom.

It has space group Cm (No. 8), with a = 8.907 Å, b = 2.713 Å, c = 4.617 Å, α = 90.00°, β = 100.68° and γ = 90.00°. The asymmetric unit holds Fe at (0.000, 0.000, 0.000), Fe at (0.250, 0.000, 0.729), Ir at (0.247, 0.500, 0.215) and Pt at (0.000, 0.500, 0.504).